1.
6
Lattice="4.194 0.000 0.000 0.000 4.194 0.000 0.000 0.000 5.899" Properties=species:S:1:pos:R:3 comment="PBE CdTcP, optimized geometry" density_g_cm3=7.7 total_energy_ev_per_cell=-34.6 formation_energy_mev_per_atom=-206 dos_ef_per_ev_atom=0.635 relative_energy_kcal_per_mol_atoms=0.00 pbc="T T T"
Cd 1.048 1.048 0.838
Cd 3.145 3.145 5.061
Tc 1.048 3.145 2.950
Tc 3.145 1.048 2.950
P 1.048 1.048 4.122
P 3.145 3.145 1.778

2.
16
Lattice="7.575 0.000 0.000 0.000 7.575 0.000 0.000 0.000 9.129" Properties=species:S:1:pos:R:3 comment="PBE BaHfAs2, optimized geometry" density_g_cm3=5.9 total_energy_ev_per_cell=-98.1 formation_energy_mev_per_atom=-841 dos_ef_per_ev_atom=0.000 relative_energy_kcal_per_mol_atoms=4.72 pbc="T T T"
Ba 0.000 0.000 0.000
Ba 0.000 3.787 2.282
Ba 3.787 0.000 6.847
Ba 3.787 3.787 4.564
Hf 0.000 0.000 4.564
Hf 0.000 3.787 6.847
Hf 3.787 0.000 2.282
Hf 3.787 3.787 0.000
As 1.347 1.894 5.706
As 1.894 5.134 7.988
As 1.894 6.228 3.423
As 2.440 1.894 1.141
As 5.134 5.681 1.141
As 5.681 1.347 3.423
As 5.681 2.440 7.988
As 6.228 5.681 5.706

3.
14
Lattice="-2.164 4.415 6.385 2.164 -4.415 6.385 2.164 4.415 -6.385" Properties=species:S:1:pos:R:3 comment="PBE Y3Zn8Cu3, optimized geometry" density_g_cm3=6.7 total_energy_ev_per_cell=-46.0 formation_energy_mev_per_atom=-298 dos_ef_per_ev_atom=0.548 pbc="T T T"
Y 0.000 0.000 0.000
Y 0.000 0.000 3.811
Y 0.000 0.000 8.959
Zn 2.164 -1.263 2.043
Zn 2.164 -1.872 4.757
Zn 2.164 1.263 2.043
Zn 0.000 2.543 1.628
Zn 2.164 1.872 4.757
Zn 0.000 3.153 4.342
Zn 0.000 6.288 1.628
Zn 0.000 5.678 4.342
Cu 2.164 2.806 0.000
Cu 0.000 4.415 0.000
Cu 0.000 1.610 6.385

4.
6
Lattice="0.000 3.750 3.750 3.750 0.000 3.750 3.750 3.750 0.000" Properties=species:S:1:pos:R:3 comment="PBE NdNbOs4, optimized geometry" density_g_cm3=15.7 total_energy_ev_per_cell=-59.4 formation_energy_mev_per_atom=64 dos_ef_per_ev_atom=0.732 pbc="T T T"
Nd 0.000 0.000 0.000
Nb 5.625 5.625 5.625
Os 2.813 2.813 2.813
Os 4.688 4.688 2.813
Os 4.688 2.813 4.688
Os 2.813 4.688 4.688

5.
18
Lattice="6.470 0.000 0.000 0.000 6.470 0.000 0.000 0.000 5.700" Properties=species:S:1:pos:R:3 comment="PBE NaDy2GaO5, optimized geometry" density_g_cm3=6.9 total_energy_ev_per_cell=-123.4 dos_ef_per_ev_atom=0.000 pbc="T T T"
Na 0.000 0.000 0.000
Na 3.235 3.235 0.000
Dy 1.152 2.083 2.850
Dy 2.083 5.318 2.850
Dy 4.386 1.152 2.850
Dy 5.318 4.386 2.850
Ga 0.000 3.235 0.000
Ga 3.235 0.000 0.000
O 0.000 0.000 2.850
O 0.898 4.133 1.388
O 0.898 4.133 4.312
O 2.337 0.898 1.388
O 2.337 0.898 4.312
O 3.235 3.235 2.850
O 4.133 5.572 1.388
O 4.133 5.572 4.312
O 5.572 2.337 1.388
O 5.572 2.337 4.312

6.
8
Lattice="5.752 0.000 0.000 0.000 4.500 0.000 0.000 0.000 7.319" Properties=species:S:1:pos:R:3 comment="PBE AcRh2Pb, optimized geometry" density_g_cm3=11.2 total_energy_ev_per_cell=-49.2 formation_energy_mev_per_atom=-520 dos_ef_per_ev_atom=0.850 pbc="T T T"
Ac 1.438 0.000 1.760
Ac 4.314 0.000 5.558
Rh 0.000 2.250 3.659
Rh 1.438 0.000 4.634
Rh 2.876 2.250 3.659
Rh 4.314 0.000 2.684
Pb 1.438 2.250 6.201
Pb 4.314 2.250 1.118